Record 1
{
  "formula": "LaDy2Er9",
  "functional": "PBE",
  "state": "optimized geometry",
  "lattice": [[3.508, 0.000, 0.000], [0.000, 11.176, 0.000], [0.000, -5.588, 9.679]],
  "species": ["Er", "Er", "Er", "Er", "Er", "Er", "Er", "Er", "Er", "Dy", "Dy", "La"],
  "fractional_positions": [[0.000, 0.500, 0.000], [0.500, 0.821, 0.641], [0.500, 0.179, 0.359], [0.500, 0.179, 0.821], [0.500, 0.821, 0.179], [0.000, 0.000, 0.500], [0.000, 0.500, 0.500], [0.500, 0.641, 0.821], [0.500, 0.359, 0.179], [0.000, 0.333, 0.667], [0.000, 0.667, 0.333], [0.000, 0.000, 0.000]],
  "de_polymorph_mev_per_atom": 9.2,
  "e_form_ev_per_atom": 0.04,
  "dos_ef_per_ev_cell": 16.89,
  "spacegroup": "No. 191",
  "magmom_total_mub_per_fu": 0.00
}

Record 2
{
  "formula": "Cs2USb2S6",
  "functional": "PBE",
  "state": "optimized geometry",
  "lattice": [[-4.343, 5.592, 1.306], [-3.092, -5.510, -6.536], [-0.832, -2.328, 7.202]],
  "species": ["Cs", "Cs", "Sb", "Sb", "U", "S", "S", "S", "S", "S", "S"],
  "fractional_positions": [[0.256, 0.511, 0.786], [0.744, 0.489, 0.214], [0.036, 0.072, 0.220], [0.964, 0.928, 0.780], [0.500, 0.000, 0.500], [0.178, 0.863, 0.203], [0.822, 0.137, 0.797], [0.346, 0.692, 0.454], [0.685, 0.863, 0.203], [0.654, 0.308, 0.546], [0.315, 0.137, 0.797]],
  "energy_ev_per_atom": -5.0501,
  "spacegroup": "No. 12",
  "magmom_total_mub_per_fu": 0.00
}

Record 3
{
  "formula": "Sr4Bi2Pd",
  "functional": "PBE",
  "state": "optimized geometry",
  "lattice": [[-3.189, 4.538, 0.731], [-3.614, -3.025, 3.014], [7.897, 1.215, 5.495]],
  "species": ["Sr", "Sr", "Sr", "Sr", "Bi", "Bi", "Pd"],
  "fractional_positions": [[0.822, 0.822, 0.643], [0.500, 0.000, 0.000], [0.178, 0.178, 0.357], [0.000, 0.500, 0.000], [0.632, 0.632, 0.264], [0.368, 0.368, 0.736], [0.000, 0.000, 0.000]],
  "e_form_ev_per_atom": -0.69,
  "dos_ef_per_ev_cell": 0.70,
  "spacegroup": "No. 139",
  "magmom_total_mub_per_fu": 0.00
}

Record 4
{
  "formula": "Al2Ga3",
  "functional": "PBE",
  "state": "optimized geometry",
  "lattice": [[6.694, -0.217, -0.171], [1.818, 6.446, -0.171], [1.818, 1.330, 6.310]],
  "species": ["Ga", "Ga", "Ga", "Ga", "Ga", "Ga", "Ga", "Ga", "Ga", "Al", "Al", "Al", "Al", "Al", "Al"],
  "fractional_positions": [[0.789, 0.789, 0.789], [0.404, 0.570, 0.803], [0.197, 0.596, 0.430], [0.570, 0.803, 0.404], [0.803, 0.404, 0.570], [0.596, 0.430, 0.197], [0.430, 0.197, 0.596], [0.211, 0.211, 0.211], [0.000, 0.000, 0.000], [0.604, 0.165, 0.947], [0.396, 0.835, 0.053], [0.835, 0.053, 0.396], [0.947, 0.604, 0.165], [0.053, 0.396, 0.835], [0.165, 0.947, 0.604]],
  "e_form_ev_per_atom": 0.08,
  "dos_ef_per_ev_cell": 7.41,
  "spacegroup": "No. 148",
  "magmom_total_mub_per_fu": 0.00
}